A plane-wave DFT calculation with PBE was carried out for NaYRh2 after structural relaxation.

E: -5.48 eV/atom
calculated density: 6.7 g cm⁻³
N(E_F): 8.1 states/eV/cell

The structure in CIF format:
```
data_NaYRh2
_cell_length_a 5.978
_cell_length_b 5.978
_cell_length_c 5.978
_cell_angle_alpha 103.55
_cell_angle_beta 103.55
_cell_angle_gamma 122.10
_space_group_name_H-M_alt 'P 1'
_space_group_IT_number 1
_space_group_name_Hall 'P 1'
loop_
_atom_site_label
_atom_site_fract_x
_atom_site_fract_y
_atom_site_fract_z
_atom_site_occupancy
Na1 0.000 0.000 0.000 1
Na2 0.750 0.250 0.500 1
Y1 0.250 0.750 0.500 1
Y2 0.500 0.500 0.000 1
Rh1 0.125 0.125 0.500 1
Rh2 0.375 0.875 0.000 1
Rh3 0.625 0.625 0.500 1
Rh4 0.875 0.375 0.000 1
```